A crystal of Ag4AsCl relaxed with PBEsol. Source: Alexandria, functional meta-GGA SCAN.

Output
The density is 7.98 Mg/m³. The value obtained for the raw formation energy is 0.3056 eV/atom. As for the space group: F-43m, No. 216.

abc: 5.4229 5.4229 5.4229
angles: 60.00 60.00 60.00
Element x y z (fractional)
Ag: 0.3756 0.3756 0.3756
Ag: 0.3756 0.3756 0.8732
Ag: 0.3756 0.8732 0.3756
Ag: 0.8732 0.3756 0.3756
As: 0.7500 0.7500 0.7500
Cl: 0.0000 0.0000 0.0000


A crystal of AgAs2Cl relaxed with PBEsol. Source: Alexandria, functional meta-GGA SCAN.

Output
The density is 6.66 Mg/m³. The value obtained for the raw formation energy is 0.2630 eV/atom. As for the space group: P4/mmm, No. 123. The relative energy among the computed polymorphs comes out at 1.94 eV per formula unit.

abc: 3.0319 3.0319 7.9528
angles: 90.00 90.00 90.00
Element x y z (fractional)
Ag: 0.0000 0.0000 0.0000
As: 0.5000 0.5000 0.2341
As: 0.5000 0.5000 0.7659
Cl: 0.0000 0.0000 0.5000


A crystal of AgAs2Cl relaxed with PBEsol. Source: Alexandria, functional meta-GGA SCAN.

Output
The density is 5.78 Mg/m³. The value obtained for the raw formation energy is -0.2226 eV/atom. As for the space group: R3m, No. 160. The relative energy among the computed polymorphs comes out at 0.00 eV per formula unit.

abc: 7.5699 7.5699 7.5699
angles: 27.95 27.95 27.95
Element x y z (fractional)
Ag: 0.0000 0.0000 0.0000
As: 0.2464 0.2464 0.2464
As: 0.5151 0.5151 0.5151
Cl: 0.7354 0.7354 0.7354


A crystal of AgAs2Cl relaxed with PBEsol. Source: Alexandria, functional meta-GGA SCAN.

Output
The density is 5.56 Mg/m³. The value obtained for the raw formation energy is 0.0673 eV/atom. As for the space group: Immm, No. 71. The relative energy among the computed polymorphs comes out at 1.16 eV per formula unit.

abc: 7.3474 7.3474 7.3474
angles: 152.20 151.68 40.10
Element x y z (fractional)
Ag: 0.0000 0.0000 0.0000
As: 0.2202 0.7202 0.5000
As: 0.7798 0.2798 0.5000
Cl: 0.5000 0.5000 0.0000


A crystal of Ag2AsCl relaxed with PBEsol. Source: Alexandria, functional meta-GGA SCAN.

Output
The density is 7.37 Mg/m³. The value obtained for the raw formation energy is 0.4296 eV/atom. As for the space group: F-43m, No. 216. The relative energy among the computed polymorphs comes out at 0.88 eV per formula unit.

abc: 4.7004 4.7004 4.7004
angles: 60.00 60.00 60.00
Element x y z (fractional)
Ag: 0.0000 0.0000 0.0000
Ag: 0.2500 0.2500 0.2500
As: 0.7500 0.7500 0.7500
Cl: 0.5000 0.5000 0.5000


A crystal of Cs2AgAsCl6 relaxed with PBEsol. Source: Alexandria, functional meta-GGA SCAN.

Output
The density is 4.04 Mg/m³. The value obtained for the raw formation energy is -1.3817 eV/atom. As for the space group: Fm-3m, No. 225.

abc: 7.2717 7.2717 7.2717
angles: 60.00 60.00 60.00
Element x y z (fractional)
Cs: 0.2500 0.2500 0.2500
Cs: 0.7500 0.7500 0.7500
Ag: 0.0000 0.0000 0.0000
As: 0.5000 0.5000 0.5000
Cl: 0.2572 0.2572 0.7428
Cl: 0.2572 0.7428 0.2572
Cl: 0.2572 0.7428 0.7428
Cl: 0.7428 0.2572 0.2572
Cl: 0.7428 0.2572 0.7428
Cl: 0.7428 0.7428 0.2572


A crystal of CuAg7As4ClO14 relaxed with PBEsol. Source: Alexandria, functional meta-GGA SCAN.

Output
The density is 6.10 Mg/m³. The value obtained for the raw formation energy is -0.8595 eV/atom. As for the space group: Cc, No. 9.

abc: 6.8031 6.8031 16.3690
angles: 93.22 93.22 83.15
Element x y z (fractional)
Cu: 0.0020 0.9980 0.5000
Cu: 0.9980 0.0020 0.0000
Ag: 0.0451 0.6017 0.8252
Ag: 0.1935 0.3827 0.1527
Ag: 0.2568 0.7408 0.3237
Ag: 0.2946 0.7748 0.6669
Ag: 0.3286 0.8665 0.1653
Ag: 0.3688 0.5951 0.0230
Ag: 0.3827 0.1935 0.6527
Ag: 0.5951 0.3688 0.5230
Ag: 0.6017 0.0451 0.3252
Ag: 0.6408 0.7616 0.8463
Ag: 0.7408 0.2568 0.8237
Ag: 0.7616 0.6408 0.3463
Ag: 0.7748 0.2946 0.1669
Ag: 0.8665 0.3286 0.6653
As: 0.0904 0.2038 0.3357
As: 0.0949 0.4812 0.4941
As: 0.2038 0.0904 0.8357
As: 0.4812 0.0949 0.9941
As: 0.5221 0.8670 0.5015
As: 0.8140 0.8443 0.6619
As: 0.8443 0.8140 0.1619
As: 0.8670 0.5221 0.0015
Cl: 0.4742 0.5345 0.2303
Cl: 0.5345 0.4742 0.7303
O: 0.0112 0.9335 0.1137
O: 0.0425 0.6453 0.9617
O: 0.0991 0.9961 0.3923
O: 0.1552 0.2524 0.7601
O: 0.2025 0.3881 0.3990
O: 0.2524 0.1552 0.2601
O: 0.2873 0.4895 0.5642
O: 0.2911 0.8525 0.8086
O: 0.3064 0.9396 0.0124
O: 0.3154 0.9716 0.5503
O: 0.3881 0.2025 0.8990
O: 0.4895 0.2873 0.0642
O: 0.4977 0.6713 0.4342
O: 0.6453 0.0425 0.4617
O: 0.6448 0.9745 0.1907
O: 0.6592 0.7378 0.5843
O: 0.6713 0.4977 0.9342
O: 0.6740 0.9598 0.7371
O: 0.7048 0.9689 0.9712
O: 0.7378 0.6592 0.0843
O: 0.8525 0.2911 0.3086
O: 0.9335 0.0112 0.6137
O: 0.9396 0.3064 0.5124
O: 0.9598 0.6740 0.2371
O: 0.9689 0.7048 0.4712
O: 0.9716 0.3154 0.0503
O: 0.9745 0.6448 0.6907
O: 0.9961 0.0991 0.8923


A crystal of AgAsICl2 relaxed with PBEsol. Source: Alexandria, functional meta-GGA SCAN.

Output
The density is 4.67 Mg/m³. The value obtained for the raw formation energy is -0.0781 eV/atom. As for the space group: P4/mmm, No. 123.

abc: 4.8628 4.8628 5.7247
angles: 90.00 90.00 90.00
Element x y z (fractional)
Ag: 0.0000 0.0000 0.0000
As: 0.5000 0.5000 0.5000
I: 0.5000 0.5000 0.0000
Cl: 0.0000 0.5000 0.5000
Cl: 0.5000 0.0000 0.5000


A crystal of AgAsPCl2 relaxed with PBEsol. Source: Alexandria, functional meta-GGA SCAN.

Output
The density is 4.25 Mg/m³. The value obtained for the raw formation energy is 0.6133 eV/atom. As for the space group: P4/mmm, No. 123.

abc: 4.7053 4.7053 5.0180
angles: 90.00 90.00 90.00
Element x y z (fractional)
Ag: 0.0000 0.0000 0.0000
As: 0.5000 0.5000 0.5000
P: 0.0000 0.0000 0.5000
Cl: 0.0000 0.5000 0.0000
Cl: 0.5000 0.0000 0.0000


A crystal of Rb2AgAsCl6 relaxed with PBEsol. Source: Alexandria, functional meta-GGA SCAN.

Output
The density is 3.55 Mg/m³. The value obtained for the raw formation energy is -1.3367 eV/atom. As for the space group: Fm-3m, No. 225.

abc: 7.2124 7.2124 7.2124
angles: 60.00 60.00 60.00
Element x y z (fractional)
Rb: 0.2500 0.2500 0.2500
Rb: 0.7500 0.7500 0.7500
Ag: 0.0000 0.0000 0.0000
As: 0.5000 0.5000 0.5000
Cl: 0.2564 0.2564 0.7436
Cl: 0.2564 0.7436 0.2564
Cl: 0.2564 0.7436 0.7436
Cl: 0.7436 0.2564 0.2564
Cl: 0.7436 0.2564 0.7436
Cl: 0.7436 0.7436 0.2564


A crystal of CoAg2As relaxed with PBEsol. Source: Alexandria, functional meta-GGA SCAN.

Output
The density is 9.66 Mg/m³. As for the space group: F-43m, No. 216. The energy of formation comes out at 0.376 eV/atom.

abc: 4.3963 4.3963 4.3963
angles: 60.00 60.00 60.00
Element x y z (fractional)
Co: 0.0000 0.0000 0.0000
Ag: 0.5000 0.5000 0.5000
Ag: 0.7500 0.7500 0.7500
As: 0.2500 0.2500 0.2500


A crystal of CoAg2As relaxed with PBEsol. Source: Alexandria, functional meta-GGA SCAN.

Output
The density is 9.24 Mg/m³. As for the space group: P4/mmm, No. 123. The energy of formation comes out at 0.318 eV/atom.

abc: 2.7297 2.7297 8.4346
angles: 90.00 90.00 90.00
Element x y z (fractional)
Co: 0.0000 0.0000 0.0000
Ag: 0.5000 0.5000 0.2238
Ag: 0.5000 0.5000 0.7762
As: 0.0000 0.0000 0.5000


A crystal of CrAgAs2 relaxed with PBEsol. Source: Alexandria, functional meta-GGA SCAN.

Output
The density is 7.84 Mg/m³. As for the space group: I-4m2, No. 119. The energy of formation comes out at 0.120 eV/atom. The relative energy among the computed polymorphs comes out at 0.23 eV per formula unit.

abc: 5.2486 5.2486 5.2486
angles: 137.34 137.34 61.92
Element x y z (fractional)
Cr: 0.0000 0.0000 0.0000
Ag: 0.7500 0.2500 0.5000
As: 0.2500 0.7500 0.5000
As: 0.5000 0.5000 0.0000


A crystal of CrAg2As relaxed with PBEsol. Source: Alexandria, functional meta-GGA SCAN.

Output
The density is 8.76 Mg/m³. As for the space group: P4/mmm, No. 123. The energy of formation comes out at 0.050 eV/atom.

abc: 3.7740 3.7740 4.5605
angles: 90.00 90.00 90.00
Element x y z (fractional)
Cr: 0.0000 0.0000 0.0000
Ag: 0.0000 0.5000 0.5000
Ag: 0.5000 0.0000 0.5000
As: 0.5000 0.5000 0.0000


A crystal of CrAg2As relaxed with PBEsol. Source: Alexandria, functional meta-GGA SCAN.

Output
The density is 9.15 Mg/m³. As for the space group: R3m, No. 160. The energy of formation comes out at 0.294 eV/atom.

abc: 8.8743 8.8743 8.8743
angles: 18.61 18.61 18.61
Element x y z (fractional)
Cr: 0.0000 0.0000 0.0000
Ag: 0.5063 0.5063 0.5063
Ag: 0.7504 0.7504 0.7504
As: 0.2676 0.2676 0.2676


A crystal of CrAg2As relaxed with PBEsol. Source: Alexandria, functional meta-GGA SCAN.

Output
The density is 8.60 Mg/m³. As for the space group: Cm, No. 8. The energy of formation comes out at 0.166 eV/atom.

abc: 4.6682 4.6682 5.1182
angles: 99.62 99.62 37.07
Element x y z (fractional)
Cr: 0.0000 0.0000 0.0000
Ag: 0.2513 0.2513 0.7061
Ag: 0.4990 0.4990 0.4820
As: 0.7326 0.7326 0.1535


A crystal of CrAgAs relaxed with PBEsol. Source: Alexandria, functional meta-GGA SCAN.

Output
The density is 8.51 Mg/m³. As for the space group: P3m1, No. 156. The energy of formation comes out at 0.390 eV/atom.

abc: 2.8850 2.8850 6.3555
angles: 90.00 90.00 120.00
Element x y z (fractional)
Cr: 0.0000 0.0000 0.0000
Ag: 0.3333 0.6667 0.6538
As: 0.6667 0.3333 0.2663


A crystal of CrAg2As relaxed with PBEsol. Source: Alexandria, functional meta-GGA SCAN.

Output
The density is 8.61 Mg/m³. As for the space group: F-43m, No. 216. The energy of formation comes out at 0.118 eV/atom.

abc: 4.5378 4.5378 4.5378
angles: 60.00 60.00 60.00
Element x y z (fractional)
Cr: 0.0000 0.0000 0.0000
Ag: 0.5000 0.5000 0.5000
Ag: 0.7500 0.7500 0.7500
As: 0.2500 0.2500 0.2500


A crystal of CrAgAs2 relaxed with PBEsol. Source: Alexandria, functional meta-GGA SCAN.

Output
The density is 8.09 Mg/m³. As for the space group: R-3m, No. 166. The energy of formation comes out at 0.063 eV/atom. The relative energy among the computed polymorphs comes out at 0.00 eV per formula unit.

abc: 8.2092 8.2092 8.2092
angles: 21.24 21.24 21.24
Element x y z (fractional)
Cr: 0.0000 0.0000 0.0000
Ag: 0.5000 0.5000 0.5000
As: 0.2640 0.2640 0.2640
As: 0.7360 0.7360 0.7360


A crystal of CrAgAsH2 relaxed with PBEsol. Source: Alexandria, functional meta-GGA SCAN.

Output
For the calculated total energy, the calculation gives -14.815 eV/atom. The density is 5.74 Mg/m³. As for the space group: P4/mmm, No. 123.

abc: 3.6870 3.6870 5.0412
angles: 90.00 90.00 90.00
Element x y z (fractional)
Cr: 0.0000 0.0000 0.0000
Ag: 0.5000 0.5000 0.0000
As: 0.0000 0.0000 0.5000
H: 0.0000 0.5000 0.5000
H: 0.5000 0.0000 0.5000


A crystal of CsAgAs3 relaxed with PBEsol. Source: Alexandria, functional meta-GGA SCAN.

Output
The density is 5.69 Mg/m³. As for the space group: Pm-3m, No. 221. The energy of formation comes out at 0.488 eV/atom.

abc: 5.1423 5.1423 5.1423
angles: 90.00 90.00 90.00
Element x y z (fractional)
Cs: 0.0000 0.0000 0.0000
Ag: 0.5000 0.5000 0.5000
As: 0.0000 0.5000 0.5000
As: 0.5000 0.0000 0.5000
As: 0.5000 0.5000 0.0000


A crystal of CsAg2AsS3 relaxed with PBEsol. Source: Alexandria, functional meta-GGA SCAN.

Output
The density is 4.82 Mg/m³. The value obtained for the raw formation energy is -0.5343 eV/atom. As for the space group: P2_1/c, No. 14.

abc: 9.8987 8.2453 9.1513
angles: 90.00 106.53 90.00
Element x y z (fractional)
Cs: 0.0820 0.0686 0.2496
Cs: 0.0820 0.4314 0.7496
Cs: 0.9180 0.5686 0.2504
Cs: 0.9180 0.9314 0.7504
Ag: 0.3272 0.5237 0.2146
Ag: 0.3272 0.9763 0.7146
Ag: 0.4461 0.2401 0.5674
Ag: 0.4461 0.2599 0.0674
Ag: 0.5539 0.7401 0.9326
Ag: 0.5539 0.7599 0.4326
Ag: 0.6728 0.0237 0.2854
Ag: 0.6728 0.4763 0.7854
As: 0.3481 0.6378 0.5536
As: 0.3481 0.8622 0.0536
As: 0.6519 0.1378 0.9464
As: 0.6519 0.3622 0.4464
S: 0.1591 0.7178 0.0611
S: 0.1591 0.7822 0.5611
S: 0.2490 0.0960 0.9312
S: 0.2490 0.4040 0.4312
S: 0.4301 0.5142 0.7911
S: 0.4301 0.9858 0.2911
S: 0.5699 0.0142 0.7089
S: 0.5699 0.4858 0.2089
S: 0.7510 0.5960 0.5688
S: 0.7510 0.9040 0.0688
S: 0.8409 0.2178 0.4389
S: 0.8409 0.2822 0.9389


A crystal of CuAg2As relaxed with PBEsol. Source: Alexandria, functional meta-GGA SCAN.

Output
The density is 9.24 Mg/m³. As for the space group: F-43m, No. 216. The energy of formation comes out at 0.201 eV/atom.

abc: 4.4815 4.4815 4.4815
angles: 60.00 60.00 60.00
Element x y z (fractional)
Cu: 0.0000 0.0000 0.0000
Ag: 0.5000 0.5000 0.5000
Ag: 0.7500 0.7500 0.7500
As: 0.2500 0.2500 0.2500


A crystal of CuAg3As relaxed with PBEsol. Source: Alexandria, functional meta-GGA SCAN.

Output
The density is 7.03 Mg/m³. As for the space group: Pm-3m, No. 221. The energy of formation comes out at 0.664 eV/atom.

abc: 4.7791 4.7791 4.7791
angles: 90.00 90.00 90.00
Element x y z (fractional)
Cu: 0.0000 0.0000 0.0000
Ag: 0.0000 0.5000 0.5000
Ag: 0.5000 0.0000 0.5000
Ag: 0.5000 0.5000 0.0000
As: 0.5000 0.5000 0.5000


A crystal of CuAg2As relaxed with PBEsol. Source: Alexandria, functional meta-GGA SCAN.

Output
The density is 9.27 Mg/m³. As for the space group: Imm2, No. 44. The energy of formation comes out at 0.150 eV/atom.

abc: 5.1220 5.1220 5.1220
angles: 141.87 129.17 65.27
Element x y z (fractional)
Cu: 0.0000 0.0000 0.0000
Ag: 0.2473 0.7473 0.5000
Ag: 0.5221 0.5221 0.0000
As: 0.7889 0.2889 0.5000